1.
Here is a relaxed structure of PmSi2Pt7Pb2 from Alexandria. Energies are from PBE-GGA.

a = 4.0222 Å, b = 4.0222 Å, c = 15.5157 Å
α = 97.23°, β = 97.23°, γ = 90.04°
With the nearest neighbours (Å) after each atom.
Sites, in units of the cell vectors:
Pm1 0.0000 0.0000 0.0000  12 Pt 2.84-3.04
Si1 0.3860 0.3860 0.7652  5 Pt 2.31-2.40
Si2 0.6140 0.6140 0.2348  5 Pt 2.31-2.40
Pt1 0.0722 0.5721 0.1489  2 Si 2.40
Pt2 0.3078 0.3078 0.6137  1 Si 2.31
Pt3 0.4279 0.9278 0.8511  2 Si 2.40
Pt4 0.5000 0.5000 0.0000  4 Pm 2.84, 8 Pt 3.04
Pt5 0.5721 0.0722 0.1489  2 Si 2.40
Pt6 0.6922 0.6922 0.3863  1 Si 2.31
Pt7 0.9278 0.4279 0.8511  2 Si 2.40
Pb1 0.2081 0.2081 0.4187  5 Pt 2.89-2.98
Pb2 0.7919 0.7919 0.5813  5 Pt 2.89-2.98

The value obtained for the total energy is -6.03 eV per atom.

2.
Here is a relaxed structure of NdGa12Ir4 from Alexandria. Energies are from PBE-GGA.

a = 7.6627 Å, b = 7.6627 Å, c = 7.6627 Å
α = 109.47°, β = 109.47°, γ = 109.47°
With the nearest neighbours (Å) after each atom.
Sites, in units of the cell vectors:
Nd1 0.0000 0.0000 0.0000  12 Ga 3.31
Ga1 0.1614 0.3375 0.4990  2 Ir 2.47
Ga2 0.1614 0.6625 0.8239  2 Ir 2.47
Ga3 0.1761 0.8386 0.3375  2 Ir 2.47
Ga4 0.3375 0.1761 0.8386  2 Ir 2.47
Ga5 0.3375 0.4990 0.1614  2 Ir 2.47
Ga6 0.4990 0.1614 0.3375  2 Ir 2.47
Ga7 0.5010 0.8386 0.6625  2 Ir 2.47
Ga8 0.6625 0.5010 0.8386  2 Ir 2.47
Ga9 0.6625 0.8239 0.1614  2 Ir 2.47
Ga10 0.8239 0.1614 0.6625  2 Ir 2.47
Ga11 0.8386 0.3375 0.1761  2 Ir 2.47
Ga12 0.8386 0.6625 0.5010  2 Ir 2.47
Ir1 0.0000 0.0000 0.5000  6 Ga 2.47
Ir2 0.0000 0.5000 0.0000  6 Ga 2.47
Ir3 0.5000 0.0000 0.0000  6 Ga 2.47
Ir4 0.5000 0.5000 0.5000  6 Ga 2.47

The value obtained for the total energy is -4.70 eV per atom. As for the calculated formation energy: -0.1938 eV/atom.

3.
Here is a relaxed structure of BH3 from Alexandria. Energies are from PBE-GGA.

a = 4.2965 Å, b = 6.3906 Å, c = 6.2288 Å
α = 90.00°, β = 117.52°, γ = 90.00°
With the nearest neighbours (Å) after each atom.
Sites, in units of the cell vectors:
B1 0.1414 0.0423 0.1461  4 H 1.20-1.32
B2 0.1414 0.4577 0.6461  4 H 1.20-1.32
B3 0.8586 0.5423 0.3539  4 H 1.20-1.32
B4 0.8586 0.9577 0.8539  4 H 1.20-1.32
H1 0.0915 0.5118 0.8115  1 B 1.20
H2 0.0915 0.9882 0.3115  1 B 1.20
H3 0.1506 0.6243 0.5239  2 B 1.32
H4 0.1506 0.8757 0.0239  2 B 1.32
H5 0.3818 0.1540 0.1771  1 B 1.20
H6 0.3818 0.3460 0.6771  1 B 1.20
H7 0.6182 0.6540 0.3229  1 B 1.20
H8 0.6182 0.8460 0.8229  1 B 1.20
H9 0.8494 0.1243 0.9761  2 B 1.32
H10 0.8494 0.3757 0.4761  2 B 1.32
H11 0.9085 0.0118 0.6885  1 B 1.20
H12 0.9085 0.4882 0.1885  1 B 1.20

The value obtained for the total energy is -4.24 eV per atom. For the energy relative to the lowest polymorph listed for this composition, the calculation gives 0 kJ/mol of formula units.

4.
Here is a relaxed structure of SmHo6Er2Tm from Alexandria. Energies are from PBE-GGA.

a = 8.7181 Å, b = 8.7181 Å, c = 9.4411 Å
α = 93.56°, β = 93.56°, γ = 117.71°
With the nearest neighbours (Å) after each atom.
Sites, in units of the cell vectors:
Sm1 0.0253 0.9747 0.7500  4 Er 3.36-3.41, 4 Ho 3.54-3.65
Sm2 0.9747 0.0253 0.2500  4 Er 3.36-3.41, 4 Ho 3.54-3.65
Ho1 0.0166 0.5661 0.6839  3 Ho 3.19-3.54, 2 Er 3.36-3.56, 1 Tm 3.43, 1 Sm 3.54
Ho2 0.1244 0.7522 0.0566  7 Ho 3.37-3.69, 1 Er 3.47, 1 Sm 3.65
Ho3 0.2478 0.8756 0.4434  7 Ho 3.37-3.69, 1 Er 3.47, 1 Sm 3.65
Ho4 0.2910 0.5080 0.8819  4 Ho 3.19-3.48, 3 Er 3.24-3.39, 2 Tm 3.38-3.50
Ho5 0.4339 0.9834 0.8161  3 Ho 3.19-3.54, 2 Er 3.36-3.56, 1 Tm 3.43, 1 Sm 3.54
Ho6 0.4920 0.7090 0.6181  4 Ho 3.19-3.48, 3 Er 3.24-3.39, 2 Tm 3.38-3.50
Ho7 0.5080 0.2910 0.3819  4 Ho 3.19-3.48, 3 Er 3.24-3.39, 2 Tm 3.38-3.50
Ho8 0.5661 0.0166 0.1839  3 Ho 3.19-3.54, 2 Er 3.36-3.56, 1 Tm 3.43, 1 Sm 3.54
Ho9 0.7090 0.4920 0.1181  4 Ho 3.19-3.48, 3 Er 3.24-3.39, 2 Tm 3.38-3.50
Ho10 0.7522 0.1244 0.5566  7 Ho 3.37-3.69, 1 Er 3.47, 1 Sm 3.65
Ho11 0.8756 0.2478 0.9434  7 Ho 3.37-3.69, 1 Er 3.47, 1 Sm 3.65
Ho12 0.9834 0.4339 0.3161  3 Ho 3.19-3.54, 2 Er 3.36-3.56, 1 Tm 3.43, 1 Sm 3.54
Er1 0.1994 0.3053 0.5463  6 Ho 3.24-3.56, 2 Sm 3.36-3.41, 1 Tm 3.49
Er2 0.3053 0.1994 0.0463  6 Ho 3.24-3.56, 2 Sm 3.36-3.41, 1 Tm 3.49
Er3 0.6947 0.8006 0.9537  6 Ho 3.24-3.56, 2 Sm 3.36-3.41, 1 Tm 3.49
Er4 0.8006 0.6947 0.4537  6 Ho 3.24-3.56, 2 Sm 3.36-3.41, 1 Tm 3.49
Tm1 0.4099 0.5901 0.2500  6 Ho 3.38-3.50, 2 Er 3.49
Tm2 0.5901 0.4099 0.7500  6 Ho 3.38-3.50, 2 Er 3.49

The value obtained for the total energy is -4.46 eV per atom. As for the calculated formation energy: 0.1214 eV/atom.

5.
Here is a relaxed structure of Ac3OsC4 from Alexandria. Energies are from PBE-GGA.

a = 8.8551 Å, b = 8.8551 Å, c = 4.6932 Å
α = 99.32°, β = 99.32°, γ = 26.12°
With the nearest neighbours (Å) after each atom.
Sites, in units of the cell vectors:
Ac1 0.0000 0.0000 0.0000  4 C 2.90, 4 Os 3.08
Ac2 0.1745 0.1745 0.7034  5 C 2.72-2.99
Ac3 0.8255 0.8255 0.2966  5 C 2.72-2.99
Os1 0.5000 0.5000 0.5000  2 C 1.99
C1 0.3343 0.3343 0.7751  1 C 1.34
C2 0.4016 0.4016 0.6678  1 C 1.34
C3 0.5984 0.5984 0.3322  1 C 1.34
C4 0.6657 0.6657 0.2249  1 C 1.34

The value obtained for the total energy is -7.59 eV per atom. As for the calculated formation energy: -0.0355 eV/atom.